# 1
Ca2Mg4Zn | GGA-PBE | relaxed

Structure (extended XYZ):
```
14
Lattice="9.412 0.190 0.000 3.957 8.541 0.000 -6.684 -4.366 4.988" Properties=species:S:1:pos:R:3 pbc="T T T"
Ca 5.321 6.454 0.833
Ca -0.456 0.698 2.494
Ca 1.364 -2.088 4.154
Ca 7.140 3.668 2.494
Mg 2.855 0.728 2.494
Mg 2.143 6.220 2.494
Mg 0.971 3.613 4.036
Mg 5.713 0.753 0.952
Mg 4.541 -1.854 2.494
Mg 3.829 3.638 2.494
Mg 5.713 0.753 4.036
Mg 0.971 3.613 0.952
Zn 10.027 6.549 0.000
Zn 3.342 2.183 0.000
```

## Properties
Final energy in eV per atom: -1.595
Formation enthalpy at 0 K in eV/atom: 0.070
ΔE to the lowest computed polymorph in eV per formula unit: 0.96
SG: I4/mcm



# 2
Ca2MgZn3 | GGA-PBE | relaxed

Structure (extended XYZ):
```
12
Lattice="5.038 0.000 0.000 -2.519 4.361 0.000 0.000 0.000 12.517" Properties=species:S:1:pos:R:3 pbc="T T T"
Zn 0.000 2.905 10.600
Zn 0.000 0.000 0.000
Zn 2.519 1.456 4.342
Zn 0.000 0.000 6.258
Zn 0.000 2.905 8.174
Zn 2.519 1.456 1.916
Ca 0.000 2.908 5.065
Ca 2.519 1.452 11.324
Ca 2.519 1.452 7.451
Ca 0.000 2.908 1.193
Mg 0.000 0.001 3.129
Mg 2.519 4.359 9.387
```

## Properties
Final energy in eV per atom: -1.754
Formation enthalpy at 0 K in eV/atom: -0.184
ΔE to the lowest computed polymorph in eV per formula unit: 0.21
SG: P6_3/mmc



# 3
Ca3Mg4Zn11 | GGA-PBE | relaxed

Structure (extended XYZ):
```
36
Lattice="-0.362 -2.701 -8.922 7.860 -1.122 4.898 -2.898 -8.524 2.698" Properties=species:S:1:pos:R:3 pbc="T T T"
Zn 5.396 -4.896 3.891
Zn 2.113 -1.491 0.366
Zn 2.487 -10.856 -1.692
Zn -1.748 -10.251 -4.331
Zn 3.439 -8.056 -2.578
Zn 1.161 -4.291 1.252
Zn 0.906 -6.507 -2.944
Zn 3.723 -3.166 2.184
Zn 0.877 -9.182 -3.510
Zn 6.348 -2.096 3.005
Zn -0.495 -10.628 -1.640
Zn 5.840 -4.245 1.048
Zn -0.600 -5.996 -0.410
Zn -1.552 -8.796 0.476
Zn -0.796 -7.451 -5.217
Zn -1.240 -8.102 -2.374
Zn 3.695 -5.840 1.618
Zn 3.621 -3.928 -0.335
Zn 0.979 -8.419 -0.991
Zn 5.201 -6.351 -0.916
Zn 6.153 -3.551 -1.802
Zn 5.096 -1.719 0.314
Ca 0.548 -4.518 -5.500
Ca 3.720 -4.971 -3.524
Ca 3.906 -8.919 0.573
Ca 0.880 -7.376 2.197
Ca 4.052 -7.829 4.174
Ca 0.694 -3.428 -1.900
Mg 3.749 -1.912 -2.012
Mg -0.725 -2.131 0.675
Mg 3.930 -0.561 2.449
Mg -0.181 -1.351 -4.461
Mg 2.300 -6.174 -0.663
Mg -2.174 -6.393 2.024
Mg -1.630 -5.613 -3.112
Mg 2.481 -4.823 3.798
```

## Properties
Final energy in eV per atom: -1.612
Formation enthalpy at 0 K in eV/atom: -0.146
SG: P6_3/mmc



# 4
Ca2MgZn2 | GGA-PBE | relaxed

Structure (extended XYZ):
```
10
Lattice="-4.150 2.096 -3.911 -0.704 -2.499 -5.492 -6.362 -5.226 1.322" Properties=species:S:1:pos:R:3 pbc="T T T"
Zn -7.520 -1.263 -4.825
Zn -9.301 -3.748 -1.482
Zn -1.915 -1.882 -6.599
Zn -3.696 -4.367 -3.256
Ca -2.149 -1.576 -3.344
Ca -9.067 -4.054 -4.737
Ca -4.892 -2.768 -5.855
Ca -6.324 -2.862 -2.226
Mg -5.257 0.144 -3.802
Mg -5.959 -5.774 -4.279
```

## Properties
Final energy in eV per atom: -1.849
Formation enthalpy at 0 K in eV/atom: -0.220
SG: C2/c



# 5
CaMgZn2 | GGA-PBE | relaxed

Structure (extended XYZ):
```
8
Lattice="6.050 -0.005 0.000 -4.159 4.394 0.000 0.000 0.000 6.643" Properties=species:S:1:pos:R:3 pbc="T T T"
Zn -3.024 3.905 3.717
Zn 4.915 0.484 2.926
Zn -3.024 3.905 6.248
Zn 4.915 0.484 0.396
Mg 3.051 1.288 4.982
Mg -1.160 3.102 1.661
Ca 1.870 1.796 1.661
Ca 0.020 2.593 4.982
```

## Properties
Final energy in eV per atom: -1.718
Formation enthalpy at 0 K in eV/atom: -0.182
SG: Cmcm



# 6
Ca4MgZn | GGA-PBE | relaxed

Structure (extended XYZ):
```
6
Lattice="0.016 -5.850 -3.522 -5.292 -4.289 0.481 -4.233 -0.808 -5.298" Properties=species:S:1:pos:R:3 pbc="T T T"
Mg -7.131 -8.211 -6.254
Ca -6.210 -6.249 -2.888
Ca -3.559 -7.029 -4.887
Ca -5.681 -4.510 -5.774
Ca -3.567 -4.107 -3.128
Zn 0.000 0.000 0.000
```

## Properties
Final energy in eV per atom: -1.426
Formation enthalpy at 0 K in eV/atom: 0.386
ΔE to the lowest computed polymorph in eV per formula unit: 2.97
SG: F-43m